Record 1
Rb3S2O8: optimized geometry, GGA-PBEsol.

- DOS(E_F): 2.12 states/eV per cell
- Formation energy without anion corrections: -1.7104 eV/atom

POSCAR file:
```
Rb3S2O8
1.0
7.5004 -2.9678 0.0000
7.5004 2.9678 0.0000
-2.3223 0.0000 9.7503
Rb S O
6 4 16
Cartesian
3.8913 1.3414 3.4008 Rb
5.7587 1.6060 7.3127 Rb
9.9483 1.3414 1.4744 Rb
2.7302 -1.3414 8.2759 Rb
6.9198 -1.6060 2.4376 Rb
8.7871 -1.3414 6.3496 Rb
5.7119 1.6743 0.3241 S
8.1277 1.6743 4.5511 S
4.5508 -1.6743 5.1992 S
6.9665 -1.6743 9.4263 S
3.1602 1.5878 8.6179 O
0.2152 0.1678 8.8345 O
7.1893 1.8717 0.5799 O
1.3764 -0.1678 3.9593 O
6.6504 1.8717 4.2953 O
5.3751 0.3927 0.9959 O
8.3571 1.5878 6.0076 O
4.2139 -0.3927 5.8710 O
8.4645 0.3927 3.8793 O
4.3213 -1.5878 3.7427 O
7.3034 -0.3927 8.7544 O
6.0281 -1.8717 5.4551 O
11.3021 0.1678 5.7910 O
5.4892 -1.8717 9.1704 O
12.4633 -0.1678 0.9158 O
9.5183 -1.5878 1.1324 O
```

Record 2
GaSi2BBr: optimized geometry, GGA-PBEsol.

- DOS(E_F): 3.03 states/eV per cell
- Formation energy without anion corrections: 1.5693 eV/atom

POSCAR file:
```
GaSi2BBr
1.0
4.7041 0.0000 0.0000
0.0000 4.7041 0.0000
0.0000 0.0000 5.1217
Ga Si B Br
1 2 1 1
Cartesian
0.0000 0.0000 0.0000 Ga
0.0000 2.3520 0.0000 Si
2.3520 0.0000 0.0000 Si
2.3520 2.3520 2.5608 B
0.0000 0.0000 2.5608 Br
```

Record 3
FeTe: optimized geometry, GGA-PBEsol.

- DOS(E_F): 9.62 states/eV per cell
- Formation energy without anion corrections: 0.0475 eV/atom

POSCAR file:
```
FeTe
1.0
12.5462 0.0000 0.0000
0.0000 3.6091 0.0000
-2.6293 0.0000 5.3839
Fe Te
6 6
Cartesian
0.0000 0.0000 0.0000 Fe
-1.7282 1.8045 3.7985 Fe
-0.3678 0.0000 4.5314 Fe
6.2731 1.8045 0.0000 Fe
4.5449 0.0000 3.7985 Fe
5.9053 1.8045 4.5314 Fe
1.7163 1.8045 0.9108 Te
2.1508 0.0000 4.4641 Te
5.0111 1.8045 2.1483 Te
7.9894 0.0000 0.9108 Te
8.4239 1.8045 4.4641 Te
11.2842 0.0000 2.1483 Te
```

Record 4
Cr2CuAg: optimized geometry, GGA-PBEsol.

- DOS(E_F): 5.36 states/eV per cell
- ΔE_f: 0.56 eV/atom

POSCAR file:
```
Cr2CuAg
1.0
2.4987 0.0000 0.0000
0.0000 2.4987 0.0000
0.0000 0.0000 8.0808
Cr Cu Ag
2 1 1
Cartesian
0.0000 0.0000 1.8701 Cr
0.0000 0.0000 6.2107 Cr
1.2494 1.2494 0.0000 Cu
1.2494 1.2494 4.0404 Ag
```

Record 5
SrSO4: optimized geometry, GGA-PBEsol.

- DOS(E_F): 0.00 states/eV per cell
- Formation energy without anion corrections: -2.2752 eV/atom

POSCAR file:
```
SrSO4
1.0
8.3399 0.0000 0.0000
0.0000 5.3302 0.0000
0.0000 0.0000 6.8461
Sr S O
4 4 16
Cartesian
1.5349 1.3326 1.0724 Sr
2.6350 3.9977 4.4955 Sr
5.7049 1.3326 2.3506 Sr
6.8050 3.9977 5.7737 Sr
0.5151 1.3326 4.6821 S
3.6549 3.9977 1.2591 S
4.6851 1.3326 5.5870 S
7.8248 3.9977 2.1640 S
0.6516 0.1230 5.5538 O
0.6516 2.5421 5.5538 O
0.8099 3.9977 2.7949 O
1.6187 1.3326 3.6926 O
2.5513 3.9977 0.2696 O
3.3601 1.3326 6.2180 O
3.5184 2.7881 2.1307 O
3.5184 5.2072 2.1307 O
4.8215 0.1230 4.7153 O
4.8215 2.5421 4.7153 O
4.9799 3.9977 0.6281 O
5.7887 1.3326 6.5765 O
6.7212 3.9977 3.1534 O
7.5300 1.3326 4.0511 O
7.6884 2.7881 1.2923 O
7.6884 5.2072 1.2923 O
```

Record 6
Ba4CeMn3O12: optimized geometry, GGA-PBEsol.

- Formation energy without anion corrections: -2.5269 eV/atom

POSCAR file:
```
Ba4CeMn3O12
1.0
2.8893 1.6681 9.5557
-2.8893 1.6681 9.5557
0.0000 -3.3363 9.5557
Ba Ce Mn O
4 1 3 12
Cartesian
0.0000 0.0000 3.7718 Ba
0.0000 0.0000 8.0419 Ba
0.0000 0.0000 20.6251 Ba
0.0000 0.0000 24.8953 Ba
0.0000 0.0000 0.0000 Ce
0.0000 0.0000 11.8296 Mn
0.0000 0.0000 14.3335 Mn
0.0000 0.0000 16.8374 Mn
-1.2730 -0.7350 13.1325 O
0.0000 -1.5613 10.8493 O
-1.3522 0.7807 10.8493 O
-1.3522 -0.7807 17.8178 O
0.0000 -1.4699 15.5346 O
-1.2730 0.7350 15.5346 O
1.2730 -0.7350 13.1325 O
0.0000 1.4699 13.1325 O
1.3522 0.7807 10.8493 O
1.3522 -0.7807 17.8178 O
0.0000 1.5613 17.8178 O
1.2730 0.7350 15.5346 O
```

Record 7
Ag3WF: optimized geometry, GGA-PBEsol.

- DOS(E_F): 6.41 states/eV per cell
- Formation energy without anion corrections: 1.6979 eV/atom

POSCAR file:
```
Ag3WF
1.0
5.0063 0.0000 0.0000
0.0000 5.0063 0.0000
0.0000 0.0000 5.0063
Ag W F
3 1 1
Cartesian
0.0000 0.0000 2.5031 Ag
0.0000 2.5031 0.0000 Ag
2.5031 0.0000 0.0000 Ag
0.0000 0.0000 0.0000 W
2.5031 2.5031 2.5031 F
```

Record 8
K5Pt: optimized geometry, GGA-PBEsol.

- DOS(E_F): 2.70 states/eV per cell
- ΔE_f: 0.18 eV/atom

POSCAR file:
```
K5Pt
1.0
4.3426 0.0000 0.0000
0.0000 4.3426 0.0000
0.0000 0.0000 14.3979
K Pt
5 1
Cartesian
0.0000 0.0000 0.0000 K
0.0000 0.0000 5.7602 K
0.0000 0.0000 8.6377 K
2.1713 2.1713 3.3804 K
2.1713 2.1713 11.0175 K
2.1713 2.1713 7.1989 Pt
```

Record 9
Tl2TcSe: optimized geometry, GGA-PBEsol.

- DOS(E_F): 5.54 states/eV per cell
- Formation energy without anion corrections: 0.7028 eV/atom

POSCAR file:
```
Tl2TcSe
1.0
4.1222 0.0000 0.0000
0.0000 4.1222 0.0000
0.0000 0.0000 10.2241
Tl Tc Se
4 2 2
Cartesian
0.0000 2.0611 2.5560 Tl
0.0000 2.0611 7.6680 Tl
2.0611 0.0000 2.5560 Tl
2.0611 0.0000 7.6680 Tl
0.0000 0.0000 0.0000 Tc
2.0611 2.0611 5.1120 Tc
0.0000 0.0000 5.1120 Se
2.0611 2.0611 0.0000 Se
```

Record 10
FeIrPb2: optimized geometry, GGA-PBEsol.

- DOS(E_F): 6.08 states/eV per cell
- ΔE_f: 0.37 eV/atom

POSCAR file:
```
FeIrPb2
1.0
4.0802 0.0000 0.0000
0.0000 3.8640 0.0000
0.0000 0.0000 10.0033
Fe Ir Pb
2 2 4
Cartesian
0.0000 0.0000 0.0000 Fe
0.0000 1.9320 5.0016 Fe
2.0401 0.0000 1.3261 Ir
2.0401 1.9320 6.3277 Ir
0.0000 0.0000 7.1921 Pb
0.0000 1.9320 2.1905 Pb
2.0401 0.0000 4.2040 Pb
2.0401 1.9320 9.2057 Pb
```

Record 11
LiAg2: optimized geometry, GGA-PBEsol.

- DOS(E_F): 2.89 states/eV per cell
- ΔE_f: -0.16 eV/atom

POSCAR file:
```
LiAg2
1.0
5.6041 0.0000 0.0000
0.0000 4.0101 0.0000
0.0000 0.0000 8.4194
Li Ag
4 8
Cartesian
0.7986 1.0025 0.7511 Li
2.0035 3.0076 4.9608 Li
3.6006 1.0025 3.4586 Li
4.8056 3.0076 7.6683 Li
0.6318 1.0025 6.3671 Ag
0.7505 1.0025 3.5235 Ag
2.0516 3.0076 7.7332 Ag
2.1703 3.0076 2.1575 Ag
3.4338 1.0025 6.2619 Ag
3.5525 1.0025 0.6861 Ag
4.8537 3.0076 4.8958 Ag
4.9724 3.0076 2.0522 Ag
```

Record 12
Sc2SbAs: optimized geometry, GGA-PBEsol.

- DOS(E_F): 1.83 states/eV per cell
- Formation energy without anion corrections: -0.9050 eV/atom

POSCAR file:
```
Sc2SbAs
1.0
3.4005 0.0000 0.0000
0.0000 3.7098 0.0000
-1.5477 0.0000 6.6728
Sc Sb As
2 1 1
Cartesian
0.3583 0.0000 1.7805 Sc
1.4945 0.0000 4.8923 Sc
1.7003 1.8549 0.0000 Sb
-0.7739 1.8549 3.3364 As
```

Record 13
HfCrGe3: optimized geometry, GGA-PBEsol.

- DOS(E_F): 3.03 states/eV per cell
- ΔE_f: 0.45 eV/atom

POSCAR file:
```
HfCrGe3
1.0
4.5320 0.0000 0.0000
0.0000 4.5320 0.0000
0.0000 0.0000 4.5320
Hf Cr Ge
1 1 3
Cartesian
0.0000 0.0000 0.0000 Hf
2.2660 2.2660 2.2660 Cr
0.0000 2.2660 2.2660 Ge
2.2660 0.0000 2.2660 Ge
2.2660 2.2660 0.0000 Ge
```

Record 14
Mg2C: optimized geometry, GGA-PBEsol.

- DOS(E_F): 4.18 states/eV per cell
- ΔE_f: 0.32 eV/atom

POSCAR file:
```
Mg2C
1.0
3.1169 0.0000 0.0000
0.0000 6.0968 0.0000
0.0000 0.0000 9.7453
Mg C
8 4
Cartesian
0.0000 0.0000 2.4291 Mg
0.0000 0.0000 7.3162 Mg
0.0000 1.6149 4.8727 Mg
0.0000 4.4819 4.8727 Mg
1.5585 1.4335 0.0000 Mg
1.5585 3.0484 2.4435 Mg
1.5585 3.0484 7.3018 Mg
1.5585 4.6633 0.0000 Mg
0.0000 3.0484 0.6909 C
0.0000 3.0484 9.0544 C
1.5585 0.0000 4.1817 C
1.5585 0.0000 5.5636 C
```

Record 15
Ca2LaC: optimized geometry, GGA-PBEsol.

- DOS(E_F): 17.81 states/eV per cell
- ΔE_f: 0.37 eV/atom

POSCAR file:
```
Ca2LaC
1.0
9.6210 0.0000 0.0000
0.0000 9.6210 0.0000
0.0000 0.0000 4.8228
Ca La C
8 4 4
Cartesian
0.9638 2.4053 0.6029 Ca
2.4053 5.7743 1.8086 Ca
2.4053 8.6573 4.2200 Ca
3.8467 2.4053 3.0143 Ca
5.7743 7.2158 3.0143 Ca
7.2158 0.9638 4.2200 Ca
7.2158 3.8467 1.8086 Ca
8.6573 7.2158 0.6029 Ca
0.0000 0.0000 2.4114 La
0.0000 4.8105 3.6171 La
4.8105 0.0000 1.2057 La
4.8105 4.8105 0.0000 La
0.0000 0.0000 0.0000 C
0.0000 4.8105 1.2057 C
4.8105 0.0000 3.6171 C
4.8105 4.8105 2.4114 C
```

Record 16
Tc2HgCl: optimized geometry, GGA-PBEsol.

- DOS(E_F): 7.33 states/eV per cell
- Formation energy without anion corrections: 0.6726 eV/atom

POSCAR file:
```
Tc2HgCl
1.0
7.9592 0.0000 0.0000
0.0000 2.8660 0.0000
-1.0034 0.0000 5.5703
Tc Hg Cl
4 2 2
Cartesian
1.7683 0.0000 1.0777 Tc
1.2079 1.4330 4.4926 Tc
5.7479 1.4330 1.0777 Tc
5.1875 0.0000 4.4926 Tc
-0.5017 0.0000 2.7852 Hg
3.4779 1.4330 2.7852 Hg
0.0000 1.4330 0.0000 Cl
3.9796 0.0000 0.0000 Cl
```

Record 17
AsBr2Cl: optimized geometry, GGA-PBEsol.

- DOS(E_F): 0.00 states/eV per cell
- Formation energy without anion corrections: -0.4435 eV/atom

POSCAR file:
```
AsBr2Cl
1.0
12.3706 0.0000 0.0000
0.0000 3.7238 0.0000
-2.7858 0.0000 5.6748
As Br Cl
2 4 2
Cartesian
0.0000 0.0000 0.0000 As
6.1853 1.8619 0.0000 As
0.6404 1.8619 1.7918 Br
3.9206 1.8619 0.5388 Br
6.8257 0.0000 1.7918 Br
10.1059 0.0000 0.5388 Br
3.2009 0.0000 3.9726 Cl
9.3862 1.8619 3.9726 Cl
```

Record 18
ZnOsPt2: optimized geometry, GGA-PBEsol.

- DOS(E_F): 3.41 states/eV per cell
- ΔE_f: -0.08 eV/atom

POSCAR file:
```
ZnOsPt2
1.0
2.7009 0.0000 0.0000
0.0000 4.4653 0.0000
0.0000 0.0000 4.7444
Zn Os Pt
1 1 2
Cartesian
0.0000 0.0000 0.0000 Zn
0.0000 2.2327 3.0531 Os
1.3505 0.0000 2.4067 Pt
1.3505 2.2327 0.6809 Pt
```

Record 19
SrFe2Pb: optimized geometry, GGA-PBEsol.

- DOS(E_F): 6.19 states/eV per cell
- ΔE_f: 0.74 eV/atom

POSCAR file:
```
SrFe2Pb
1.0
4.5896 0.0000 0.0000
0.0000 4.5896 0.0000
0.0000 0.0000 3.8379
Sr Fe Pb
1 2 1
Cartesian
0.0000 0.0000 0.0000 Sr
0.0000 2.2948 1.9189 Fe
2.2948 0.0000 1.9189 Fe
2.2948 2.2948 0.0000 Pb
```

Record 20
Rb2O3: optimized geometry, GGA-PBEsol.

- DOS(E_F): 29.01 states/eV per cell
- Formation energy without anion corrections: -0.9218 eV/atom

POSCAR file:
```
Rb2O3
1.0
-4.5665 4.5665 4.5665
4.5665 -4.5665 4.5665
4.5665 4.5665 -4.5665
Rb O
8 12
Cartesian
4.0836 0.4829 -0.4829 Rb
6.3669 -1.8004 1.8004 Rb
0.4829 0.4829 0.4829 Rb
0.4829 -0.4829 4.0836 Rb
-0.4829 4.0836 0.4829 Rb
1.8004 6.3669 -1.8004 Rb
2.7661 2.7661 2.7661 Rb
-1.8004 1.8004 6.3669 Rb
6.8497 0.4461 0.0000 O
6.8497 1.8372 0.0000 O
2.7293 0.0000 2.2832 O
4.1204 0.0000 2.2832 O
2.2832 2.7293 0.0000 O
2.2832 4.1204 0.0000 O
0.0000 2.2832 2.7293 O
0.0000 2.2832 4.1204 O
0.4461 0.0000 6.8497 O
1.8372 0.0000 6.8497 O
0.0000 6.8497 0.4461 O
0.0000 6.8497 1.8372 O
```

Record 21
K2TlAgF6: optimized geometry, GGA-PBEsol.

- DOS(E_F): 2.27 states/eV per cell
- Formation energy without anion corrections: -2.0376 eV/atom

POSCAR file:
```
K2TlAgF6
1.0
0.0000 4.4726 4.4726
4.4726 0.0000 4.4726
4.4726 4.4726 0.0000
K Tl Ag F
2 1 1 6
Cartesian
2.2363 2.2363 2.2363 K
6.7090 6.7090 6.7090 K
0.0000 0.0000 0.0000 Tl
4.4726 4.4726 4.4726 Ag
4.4726 4.4726 2.1835 F
4.4726 2.1835 4.4726 F
6.7618 4.4726 4.4726 F
2.1835 4.4726 4.4726 F
4.4726 6.7618 4.4726 F
4.4726 4.4726 6.7618 F
```

Record 22
Na2TcBr: optimized geometry, GGA-PBEsol.

- DOS(E_F): 11.66 states/eV per cell
- Formation energy without anion corrections: 0.7056 eV/atom

POSCAR file:
```
Na2TcBr
1.0
8.2697 0.0000 0.0000
0.0000 8.2697 0.0000
0.0000 0.0000 5.2535
Na Tc Br
8 4 4
Cartesian
1.7809 6.2023 0.6567 Na
2.0674 1.7809 4.5968 Na
2.0674 2.3540 1.9701 Na
2.3540 6.2023 3.2834 Na
5.9157 2.0674 3.2834 Na
6.2023 5.9157 1.9701 Na
6.2023 6.4889 4.5968 Na
6.4889 2.0674 0.6567 Na
0.0000 0.0000 2.6268 Tc
0.0000 4.1349 3.9401 Tc
4.1349 0.0000 1.3134 Tc
4.1349 4.1349 0.0000 Tc
0.0000 0.0000 0.0000 Br
0.0000 4.1349 1.3134 Br
4.1349 0.0000 3.9401 Br
4.1349 4.1349 2.6268 Br
```

Record 23
K2InRh: optimized geometry, GGA-PBEsol.

- DOS(E_F): 2.34 states/eV per cell
- ΔE_f: 0.08 eV/atom

POSCAR file:
```
K2InRh
1.0
3.6702 0.0000 0.0000
0.0000 3.6702 0.0000
0.0000 0.0000 9.9032
K In Rh
2 1 1
Cartesian
0.0000 0.0000 0.0000 K
1.8351 1.8351 4.0152 K
1.8351 1.8351 7.1985 In
0.0000 0.0000 6.7613 Rh
```

Record 24
YTaOF2: optimized geometry, GGA-PBEsol.

- DOS(E_F): 4.16 states/eV per cell
- Formation energy without anion corrections: -1.6925 eV/atom

POSCAR file:
```
YTaOF2
1.0
4.3132 0.0000 0.0000
0.0000 4.3132 0.0000
0.0000 0.0000 3.9606
Y Ta O F
1 1 1 2
Cartesian
0.0000 0.0000 0.0000 Y
2.1566 2.1566 1.9803 Ta
2.1566 2.1566 0.0000 O
0.0000 2.1566 1.9803 F
2.1566 0.0000 1.9803 F
```

Total energy
In order: -5.85; -3.17; -6.20; -6.47; -6.81; -7.90; -3.44; -1.93; -4.39; -6.33; -3.02; -6.62; -6.66; -4.04; -4.44; -5.60; -3.16; -7.01; -5.21; -4.48; -4.01; -3.28; -3.26; -7.39
Unit: eV/atom
Total magnetic moment
In order: 1.14; 0.00; 1.41; 0.01; 0.00; 9.00; 0.00; 0.00; 2.87; 2.67; 0.00; 0.00; 0.48; 0.00; 0.00; 0.00; 0.00; 0.00; 5.01; 1.00; 0.00; 2.43; 0.00; 2.12
Unit: μB per formula unit